Entry 1:
Density functional theory data (GGA-PBE) for crystalline TbCeY5Ho2 at its relaxed geometry.

abc: 11.1402 11.1402 9.5806
angles: 90.00 90.00 150.27
Last column: nearest neighbours and their distance in Å.
Atoms (fractional coordinates):
Tb (0.0974, 0.9026, 0.5000)  3 Y 3.06-3.41
Tb (0.9026, 0.0974, 0.0000)  3 Y 3.06-3.41
Ce (0.3106, 0.6894, 0.0944)  2 Ho 3.23-3.31, 5 Y 3.39-3.50, 2 Tb 3.59
Ce (0.6894, 0.3106, 0.5944)  2 Ho 3.23-3.31, 5 Y 3.39-3.50, 2 Tb 3.59
Y (0.0284, 0.9716, 0.8208)  2 Tb 3.21-3.41, 2 Y 3.33-3.55, 2 Ho 3.47
Y (0.1094, 0.8906, 0.1171)  4 Ho 3.31-3.56, 3 Y 3.33-3.68, 1 Tb 3.68
Y (0.1948, 0.8052, 0.7848)  2 Ce 3.39, 1 Tb 3.44, 5 Y 3.46-3.71, 3 Ho 3.51-3.72
Y (0.2334, 0.7666, 0.4074)  1 Tb 3.06, 1 Ho 3.30, 1 Ce 3.43
Y (0.4869, 0.5131, 0.0859)  3 Ho 3.29-3.67, 2 Tb 3.48, 2 Y 3.65
Y (0.5131, 0.4869, 0.5859)  3 Ho 3.29-3.67, 2 Tb 3.48, 2 Y 3.65
Y (0.7666, 0.2334, 0.9074)  1 Tb 3.06, 1 Ho 3.30, 1 Ce 3.43
Y (0.8052, 0.1948, 0.2848)  2 Ce 3.39, 1 Tb 3.44, 5 Y 3.46-3.71, 3 Ho 3.51-3.72
Y (0.8906, 0.1094, 0.6171)  4 Ho 3.31-3.56, 3 Y 3.33-3.68, 1 Tb 3.68
Y (0.9716, 0.0284, 0.3208)  2 Tb 3.21-3.41, 2 Y 3.33-3.55, 2 Ho 3.47
Ho (0.3676, 0.6324, 0.7828)  1 Ce 3.23, 2 Y 3.31, 2 Tb 3.61
Ho (0.3864, 0.6136, 0.3950)  9 Y 3.29-3.67, 1 Ce 3.31
Ho (0.6136, 0.3864, 0.8950)  9 Y 3.29-3.67, 1 Ce 3.31
Ho (0.6324, 0.3676, 0.2828)  1 Ce 3.23, 2 Y 3.31, 2 Tb 3.61

- space-group type = Cmc2_1, No. 36
- E (eV/atom) = -5.61
- DOS at the Fermi energy (states/eV/f.u.) = 16.41

Entry 2:
Density functional theory data (GGA-PBE) for crystalline RbNa3In at its relaxed geometry.

abc: 6.1405 6.1405 6.1405
angles: 90.00 90.00 90.00
Last column: nearest neighbours and their distance in Å.
Atoms (fractional coordinates):
Rb (0.0000, 0.0000, 0.0000)  12 Na 4.34
Na (0.0000, 0.5000, 0.5000)  2 In 3.07
Na (0.5000, 0.0000, 0.5000)  2 In 3.07
Na (0.5000, 0.5000, 0.0000)  2 In 3.07
In (0.5000, 0.5000, 0.5000)  6 Na 3.07

- energy relative to the lowest polymorph listed for this composition (meV per atom) = 38
- space-group type = Pm-3m, No. 221
- DOS at the Fermi energy (states/eV/f.u.) = 3.55

Entry 3:
Density functional theory data (GGA-PBE) for crystalline La2Tb6Nd3Sm at its relaxed geometry.

abc: 6.2956 6.2956 11.9592
angles: 95.03 95.03 119.98
Last column: nearest neighbours and their distance in Å.
Atoms (fractional coordinates):
La (0.1668, 0.8332, 0.0000)  6 Tb 3.62-3.63, 3 Sm 3.63-3.64, 3 La 3.63-3.64
La (0.8332, 0.1668, 0.0000)  6 Tb 3.62-3.63, 3 Sm 3.63-3.64, 3 La 3.63-3.64
Tb (0.0834, 0.4161, 0.7491)  3 Nd 3.60-3.61, 1 Sm 3.62, 2 La 3.62-3.63, 6 Tb 3.63-3.64
Tb (0.2512, 0.2512, 0.2510)  3 Nd 3.60-3.61, 1 Sm 3.62, 2 La 3.63, 6 Tb 3.63-3.64
Tb (0.4161, 0.0834, 0.7491)  3 Nd 3.60-3.61, 1 Sm 3.62, 2 La 3.62-3.63, 6 Tb 3.63-3.64
Tb (0.5839, 0.9166, 0.2509)  3 Nd 3.60-3.61, 1 Sm 3.62, 2 La 3.62-3.63, 6 Tb 3.63-3.64
Tb (0.7488, 0.7488, 0.7490)  3 Nd 3.60-3.61, 1 Sm 3.62, 2 La 3.63, 6 Tb 3.63-3.64
Tb (0.9166, 0.5839, 0.2509)  3 Nd 3.60-3.61, 1 Sm 3.62, 2 La 3.62-3.63, 6 Tb 3.63-3.64
Nd (0.0000, 0.0000, 0.5000)  6 Tb 3.60-3.61, 6 Nd 3.63-3.64
Nd (0.3336, 0.6664, 0.5000)  6 Tb 3.60-3.61, 6 Nd 3.63-3.64
Nd (0.6664, 0.3336, 0.5000)  6 Tb 3.60-3.61, 6 Nd 3.63-3.64
Sm (0.5000, 0.5000, 0.0000)  6 Tb 3.62, 6 La 3.63-3.64

- space-group type = C2/m, No. 12
- E (eV/atom) = -4.71
- DOS at the Fermi energy (states/eV/f.u.) = 15.06

Entry 4:
Density functional theory data (GGA-PBE) for crystalline BaAsS3 at its relaxed geometry.

abc: 8.6201 6.9124 9.3619
angles: 90.00 90.00 90.00
Last column: nearest neighbours and their distance in Å.
Atoms (fractional coordinates):
Ba (0.0902, 0.0538, 0.0000)  8 S 3.21-3.55
Ba (0.4098, 0.5538, 0.5000)  8 S 3.21-3.55
Ba (0.5902, 0.4462, 0.0000)  8 S 3.21-3.55
Ba (0.9098, 0.9462, 0.5000)  8 S 3.21-3.55
As (0.0915, 0.5411, 0.2201)  3 S 2.20-2.27
As (0.4085, 0.0411, 0.7201)  3 S 2.20-2.27
As (0.5915, 0.9589, 0.2201)  3 S 2.20-2.27
As (0.9085, 0.4589, 0.7201)  3 S 2.20-2.27
S (0.0188, 0.4512, 0.5006)  1 As 2.27
S (0.1882, 0.8227, 0.2829)  1 As 2.20
S (0.2148, 0.8342, 0.7147)  1 As 2.20
S (0.2852, 0.3342, 0.2147)  1 As 2.20
S (0.3118, 0.3227, 0.7829)  1 As 2.20
S (0.4812, 0.9512, 0.0006)  1 As 2.27
S (0.5188, 0.0488, 0.5006)  1 As 2.27
S (0.6882, 0.6773, 0.2829)  1 As 2.20
S (0.7148, 0.6658, 0.7147)  1 As 2.20
S (0.7852, 0.1658, 0.2147)  1 As 2.20
S (0.8118, 0.1773, 0.7829)  1 As 2.20
S (0.9812, 0.5488, 0.0006)  1 As 2.27

- space-group type = Pna2_1, No. 33
- raw formation energy (eV per atom) = -0.890

Entry 5:
Density functional theory data (GGA-PBE) for crystalline TaCuF2 at its relaxed geometry.

abc: 4.0878 4.0878 4.0878
angles: 60.00 60.00 60.00
Last column: nearest neighbours and their distance in Å.
Atoms (fractional coordinates):
Ta (0.0000, 0.0000, 0.0000)  8 F 2.50
Cu (0.5000, 0.5000, 0.5000)  8 F 2.50
F (0.2500, 0.2500, 0.2500)  4 Cu 2.50, 4 Ta 2.50
F (0.7500, 0.7500, 0.7500)  4 Cu 2.50, 4 Ta 2.50

- energy relative to the lowest polymorph listed for this composition (meV per atom) = 0
- space-group type = Fm-3m, No. 225
- raw formation energy (eV per atom) = -0.366
- DOS at the Fermi energy (states/eV/f.u.) = 3.57

Entry 6:
Density functional theory data (GGA-PBE) for crystalline Ba2ScSb4Au3 at its relaxed geometry.

abc: 4.8942 4.8942 11.7730
angles: 90.00 90.00 90.00
Last column: nearest neighbours and their distance in Å.
Atoms (fractional coordinates):
Ba (0.0000, 0.5000, 0.2347)  6 Au 3.68-3.97, 8 Sb 3.69-3.79, 2 Sc 3.97
Ba (0.5000, 0.0000, 0.7653)  6 Au 3.68-3.97, 8 Sb 3.69-3.79, 2 Sc 3.97
Sc (0.0000, 0.0000, 0.5000)  4 Sb 2.92
Sb (0.0000, 0.0000, 0.0000)  4 Au 2.88
Sb (0.0000, 0.5000, 0.6346)  3 Au 2.79-2.92, 2 Sc 2.92
Sb (0.5000, 0.0000, 0.3654)  3 Au 2.79-2.92, 2 Sc 2.92
Sb (0.5000, 0.5000, 0.0000)  4 Au 2.88
Au (0.0000, 0.5000, 0.8712)  5 Sb 2.79-2.88
Au (0.5000, 0.0000, 0.1288)  5 Sb 2.79-2.88
Au (0.5000, 0.5000, 0.5000)  4 Sb 2.92

- space-group type = P-4m2, No. 115
- raw formation energy (eV per atom) = -0.688
- DOS at the Fermi energy (states/eV/f.u.) = 5.01

Entry 7:
Density functional theory data (GGA-PBE) for crystalline KAl2Co at its relaxed geometry.

abc: 5.9205 5.9205 2.7199
angles: 97.36 97.36 121.11
Last column: nearest neighbours and their distance in Å.
Atoms (fractional coordinates):
K (0.0000, 0.0000, 0.0000)  2 K 2.72, 2 Co 2.91
Al (0.0000, 0.5000, 0.5000)  4 Al 2.72-2.91
Al (0.5000, 0.0000, 0.5000)  4 Al 2.72-2.91
Co (0.5000, 0.5000, 0.0000)  2 Co 2.72, 2 K 2.91

- energy relative to the lowest polymorph listed for this composition (meV per atom) = 721
- space-group type = C2/m, No. 12
- DOS at the Fermi energy (states/eV/f.u.) = 3.44

Entry 8:
Density functional theory data (GGA-PBE) for crystalline PaGaRh at its relaxed geometry.

abc: 5.9055 5.9055 5.9055
angles: 148.61 148.61 44.98
Last column: nearest neighbours and their distance in Å.
Atoms (fractional coordinates):
Pa (0.0000, 0.0000, 0.0000)  4 Rh 2.92, 4 Ga 3.14, 4 Pa 3.19
Ga (0.2996, 0.2996, 0.0000)  4 Rh 2.67
Rh (0.6692, 0.6692, 0.0000)  4 Ga 2.67, 4 Pa 2.92

- space-group type = I4mm, No. 107
- E (eV/atom) = -7.20
- DOS at the Fermi energy (states/eV/f.u.) = 3.41

| no. | total moment (μB/cell) |
| --- | --- |
| 1 | 1.277 |
| 2 | 0.000 |
| 3 | 0.000 |
| 4 | 0.000 |
| 5 | 0.000 |
| 6 | 0.001 |
| 7 | 1.471 |
| 8 | 0.000 |